The following is a DFT calculation (GGA-PBE) of a geometry-optimized LiTa structure.

Summary:
ρ = 8.667 g cm⁻³
E_tot = -6.54 eV/atom
formation energy = 0.34 eV per atom

Lattice parameters (Å, degrees): 10.8380 2.7007 7.5647 90.00 102.71 90.00
Space group Cm (No. 8)
Symmetry-distinct sites (fractional):
Li 0.0000 0.0000 0.0000 [2 per cell]
Li 0.0983 0.5000 0.6966 [2 per cell]
Li 0.3302 0.0000 0.6746 [2 per cell]
Ta 0.1609 0.5000 0.3275 [2 per cell]
Ta 0.2653 0.0000 0.0511 [2 per cell]
Ta 0.4281 0.5000 0.3515 [2 per cell]



The following is a DFT calculation (GGA-PBE) of a geometry-optimized LiTa structure.

Summary:
ρ = 6.254 g cm⁻³
E_tot = -3.89 eV/atom
formation energy = 2.99 eV per atom

Lattice parameters (Å, degrees): 6.6894 6.6894 6.6894 90.00 90.00 90.00
Space group Pm-3n (No. 223)
Symmetry-distinct sites (fractional):
Li 0.0000 0.2500 0.5000 [6 per cell]
Ta 0.0000 0.5000 0.2500 [6 per cell]



The following is a DFT calculation (GGA-PBE) of a geometry-optimized LiTa3 structure.

Summary:
ρ = 12.935 g cm⁻³
E_tot = -9.07 eV/atom
formation energy = 0.30 eV per atom

Lattice parameters (Å, degrees): 2.6791 4.7541 5.6054 90.00 98.67 90.00
Space group P2/m (No. 10)
Symmetry-distinct sites (fractional):
Li 0.0000 0.0000 0.0000 [1 per cell]
Ta 0.2164 0.5000 0.7467 [2 per cell]
Ta 0.5000 0.0000 0.5000 [1 per cell]



The following is a DFT calculation (GGA-PBE) of a geometry-optimized Li7Ta6 structure.

Summary:
ρ = 9.181 g cm⁻³
E_tot = -6.02 eV/atom
formation energy = 0.48 eV per atom

Lattice parameters (Å, degrees): 4.8877 4.8877 29.7484 90.00 90.00 120.00
Space group R-3m (No. 166, hexagonal axes)
Symmetry-distinct sites (fractional):
Li 0.0000 0.0000 0.0000 [3 per cell]
Li 0.0042 0.5021 0.4076 [18 per cell]
Ta 0.0000 0.0000 0.1630 [6 per cell]
Ta 0.0000 0.0000 0.3436 [6 per cell]
Ta 0.0000 0.0000 0.4582 [6 per cell]



The following is a DFT calculation (GGA-PBE) of a geometry-optimized LiTa3 structure.

Summary:
ρ = 12.453 g cm⁻³
E_tot = -9.16 eV/atom
formation energy = 0.21 eV per atom

Lattice parameters (Å, degrees): 3.2790 4.5365 9.8571 90.00 90.00 90.00
Space group Cmmm (No. 65)
Symmetry-distinct sites (fractional):
Li 0.0000 0.0000 0.0000 [2 per cell]
Ta 0.0000 0.0000 0.5000 [2 per cell]
Ta 0.0000 0.5000 0.2605 [4 per cell]



The following is a DFT calculation (GGA-PBE) of a geometry-optimized LiTa3 structure.

Summary:
ρ = 13.208 g cm⁻³
E_tot = -9.01 eV/atom
formation energy = 0.35 eV per atom

Lattice parameters (Å, degrees): 4.1612 4.1612 7.9839 90.00 90.00 90.00
Space group I4/mmm (No. 139)
Symmetry-distinct sites (fractional):
Li 0.0000 0.0000 0.0000 [2 per cell]
Ta 0.0000 0.0000 0.5000 [2 per cell]
Ta 0.0000 0.5000 0.2500 [4 per cell]



The following is a DFT calculation (GGA-PBE) of a geometry-optimized LiTa3 structure.

Summary:
ρ = 12.390 g cm⁻³
E_tot = -9.05 eV/atom
formation energy = 0.32 eV per atom

Lattice parameters (Å, degrees): 2.8613 2.8613 10.3925 90.00 90.00 120.00
Space group P-6m2 (No. 187)
Symmetry-distinct sites (fractional):
Li 0.0000 0.0000 0.0000 [1 per cell]
Ta 0.0000 0.0000 0.5000 [1 per cell]
Ta 0.6667 0.3333 0.2511 [2 per cell]



The following is a DFT calculation (GGA-PBE) of a geometry-optimized LiTa structure.

Summary:
ρ = 10.365 g cm⁻³
E_tot = -6.21 eV/atom
formation energy = 0.67 eV per atom

Lattice parameters (Å, degrees): 3.1107 3.1107 3.1107 90.00 90.00 90.00
Space group Pm-3m (No. 221)
Symmetry-distinct sites (fractional):
Li 0.0000 0.0000 0.0000 [1 per cell]
Ta 0.5000 0.5000 0.5000 [1 per cell]